No. 1
12
Lattice="3.946 0.000 0.000 0.000 8.828 0.000 0.000 0.000 8.254" Properties=species:S:1:pos:R:3 comment="GGA-PBE PrPu3Rh2, optimized geometry" space_group="No. 26" dft_energy_ev_per_atom=-10.708 pbc="T T T"
Pr 0.000 0.848 0.000
Pr 0.000 7.980 4.127
Pu 0.000 2.638 5.062
Pu 0.000 6.189 0.934
Pu 1.973 1.747 2.746
Pu 1.973 3.768 7.824
Pu 1.973 5.060 3.696
Pu 1.973 7.081 6.873
Rh 0.000 3.624 1.904
Rh 0.000 5.204 6.031
Rh 1.973 0.882 5.897
Rh 1.973 7.945 1.770

---

No. 2
18
Lattice="1.916 -8.345 0.000 1.916 8.345 0.000 0.000 0.000 11.438" Properties=species:S:1:pos:R:3 comment="GGA-PBE Tb2HoCuS5, optimized geometry" space_group="No. 36" raw_formation_energy_ev_per_atom=-1.7250 pbc="T T T"
Tb 1.916 6.563 5.719
Tb 1.916 6.333 1.412
Tb 1.916 -6.333 7.131
Tb 1.916 -6.563 0.000
Ho 1.916 5.094 9.440
Ho 1.916 -5.094 3.721
Cu 1.916 0.969 3.100
Cu 1.916 -0.969 8.819
S 1.916 7.637 10.056
S 1.916 3.519 5.632
S 1.916 3.059 1.828
S 1.916 2.368 9.341
S 1.916 0.039 6.793
S 1.916 -0.039 1.074
S 1.916 -2.368 3.622
S 1.916 -3.059 7.547
S 1.916 -3.519 11.351
S 1.916 -7.637 4.337

---

No. 3
12
Lattice="-3.514 7.729 3.489 3.514 -7.729 3.489 3.514 7.729 -3.489" Properties=species:S:1:pos:R:3 comment="GGA-PBE NaTl2AgTe2, optimized geometry" space_group="No. 72" raw_formation_energy_ev_per_atom=-0.3985 pbc="T T T"
Na 0.000 0.000 1.744
Na 0.000 0.000 5.233
Tl 5.197 2.590 0.000
Tl 1.684 5.139 0.000
Tl 1.830 2.590 3.489
Tl -1.684 5.139 3.489
Ag 3.514 0.000 1.744
Ag 0.000 7.729 1.744
Te 1.897 1.742 0.000
Te 1.897 -1.742 3.489
Te 1.617 9.471 0.000
Te 1.617 5.987 3.489

---

No. 4
13
Lattice="6.824 -6.094 0.000 6.824 6.094 0.000 -2.515 0.000 5.896" Properties=species:S:1:pos:R:3 comment="GGA-PBE Ac2Pr8Nd3, optimized geometry" space_group="No. 12" dft_energy_ev_per_atom=-4.512 pbc="T T T"
Ac 1.875 0.000 2.100
Ac 9.257 0.000 3.796
Pr -1.002 0.000 4.564
Pr 3.695 3.092 1.899
Pr 2.359 0.000 5.657
Pr 7.437 3.092 3.997
Pr 3.695 -3.092 1.899
Pr 8.773 0.000 0.239
Pr 7.437 -3.092 3.997
Pr 12.134 0.000 1.333
Nd 6.824 2.992 0.000
Nd 5.566 0.000 2.948
Nd 6.824 -2.992 0.000

---

No. 5
8
Lattice="4.673 -2.269 0.000 4.673 2.269 0.000 -4.291 0.000 7.913" Properties=species:S:1:pos:R:3 comment="GGA-PBE PmTmAg6, optimized geometry" space_group="No. 12" dft_energy_ev_per_atom=-3.491 pbc="T T T"
Pm 0.000 0.000 0.000
Tm -2.146 0.000 3.956
Ag -1.392 0.000 6.842
Ag 0.722 0.000 3.031
Ag 3.535 0.000 2.003
Ag 1.519 0.000 5.910
Ag 4.332 0.000 4.882
Ag 6.446 0.000 1.071

---

No. 6
10
Lattice="4.326 0.000 0.000 0.000 4.326 0.000 0.000 0.000 9.946" Properties=species:S:1:pos:R:3 comment="GGA-PBE Nd2CuAs4Rh3, optimized geometry" space_group="No. 115" dft_energy_ev_per_atom=-6.270 pbc="T T T"
Nd 0.000 2.163 2.482
Nd 2.163 0.000 7.464
Cu 0.000 0.000 4.973
As 0.000 0.000 0.000
As 0.000 2.163 6.303
As 2.163 0.000 3.643
As 2.163 2.163 0.000
Rh 0.000 2.163 8.755
Rh 2.163 0.000 1.191
Rh 2.163 2.163 4.973

---

What did the fifth record say?
8
Lattice="4.673 -2.269 0.000 4.673 2.269 0.000 -4.291 0.000 7.913" Properties=species:S:1:pos:R:3 comment="GGA-PBE PmTmAg6, optimized geometry" space_group="No. 12" dft_energy_ev_per_atom=-3.491 pbc="T T T"
Pm 0.000 0.000 0.000
Tm -2.146 0.000 3.956
Ag -1.392 0.000 6.842
Ag 0.722 0.000 3.031
Ag 3.535 0.000 2.003
Ag 1.519 0.000 5.910
Ag 4.332 0.000 4.882
Ag 6.446 0.000 1.071

---

Q: Which formula does entry 5 have?
A: PmTmAg6